PaGePdRh | GGA-PBE | relaxed

Computed properties:
Energy relative to the elements in eV per atom: -0.521
DOS at the Fermi energy in states/eV/f.u.: 5.61
VASP energy in eV/cell: -28.7
SG: F-43m

a b c (Å): 4.7142 4.7142 4.7142
angles (deg): 60.00 60.00 60.00
Fractional positions:
Pa  0.0000  0.0000  0.0000
Ge  0.5000  0.5000  0.5000
Rh  0.2500  0.2500  0.2500
Pd  0.7500  0.7500  0.7500



ScPaGePd | GGA-PBE | relaxed

Computed properties:
Energy relative to the elements in eV per atom: -0.466
DOS at the Fermi energy in states/eV/f.u.: 7.36
VASP energy in eV/cell: -27.5
SG: F-43m

a b c (Å): 4.8990 4.8990 4.8990
angles (deg): 60.00 60.00 60.00
Fractional positions:
Ge  0.2500  0.2500  0.2500
Pa  0.0000  0.0000  0.0000
Pd  0.7500  0.7500  0.7500
Sc  0.5000  0.5000  0.5000



Pa2Si3GePd4 | GGA-PBE | relaxed

Computed properties:
DOS at the Fermi energy in states/eV/f.u.: 5.63
VASP energy in eV/cell: -67.6
SG: P-4m2
Formation energy without anion corrections in eV per atom: -0.6979

a b c (Å): 4.2564 4.2564 9.7676
angles (deg): 90.00 90.00 90.00
Fractional positions:
Ge  0.5000  0.5000  0.5000
Pd  0.5000  0.5000  0.0000
Pd  0.0000  0.5000  0.3729
Pd  0.5000  0.0000  0.6271
Pd  0.0000  0.0000  0.0000
Si  0.0000  0.0000  0.5000
Si  0.0000  0.5000  0.1308
Si  0.5000  0.0000  0.8692
Pa  0.0000  0.5000  0.7509
Pa  0.5000  0.0000  0.2491



Pa3Tc2Ge3Pd | GGA-PBE | relaxed

Computed properties:
Energy relative to the elements in eV per atom: -0.547
DOS at the Fermi energy in states/eV/f.u.: 8.03
VASP energy in eV/cell: -73.2
SG: P-62m

a b c (Å): 3.8963 7.1997 7.1997
angles (deg): 120.00 90.00 90.00
Fractional positions:
Tc  0.5000  0.3333  0.6667
Tc  0.5000  0.6667  0.3333
Pa  0.0000  0.5854  0.5854
Pa  0.0000  0.4146  0.0000
Pa  0.0000  0.0000  0.4146
Ge  0.5000  0.7418  0.0000
Ge  0.5000  0.0000  0.7418
Ge  0.5000  0.2582  0.2582
Pd  0.0000  0.0000  0.0000



ThPaGePd | GGA-PBE | relaxed

Computed properties:
Energy relative to the elements in eV per atom: -0.355
DOS at the Fermi energy in states/eV/f.u.: 7.34
VASP energy in eV/cell: -28.1
SG: F-43m

a b c (Å): 5.0985 5.0985 5.0985
angles (deg): 60.00 60.00 60.00
Fractional positions:
Pd  0.7500  0.7500  0.7500
Th  0.5000  0.5000  0.5000
Ge  0.2500  0.2500  0.2500
Pa  0.0000  0.0000  0.0000



TmPaGePd | GGA-PBE | relaxed

Computed properties:
Energy relative to the elements in eV per atom: -0.459
DOS at the Fermi energy in states/eV/f.u.: 7.42
VASP energy in eV/cell: -25.6
SG: F-43m

a b c (Å): 4.9931 4.9931 4.9931
angles (deg): 60.00 60.00 60.00
Fractional positions:
Ge  0.2500  0.2500  0.2500
Pd  0.7500  0.7500  0.7500
Tm  0.5000  0.5000  0.5000
Pa  0.0000  0.0000  0.0000